[1]
Sm2PuSn9 | PBE | optimized geometry

For the density of states at the Fermi level, the calculation gives 13.350 states/eV/cell. The raw total energy comes out at -5.425 eV per atom.

a b c (Å): 4.6952 4.6952 14.3076
angles (deg): 90.00 90.00 90.00
With the nearest neighbours (Å) after each atom.
Space group P4/mmm (No. 123)
Inequivalent atoms, fractional coordinates:
Sm: 0.0000 0.0000 0.1725  12 Sn 3.32-3.41
Pu: 0.0000 0.0000 0.5000  12 Sn 3.30-3.32
Sn: 0.0000 0.5000 0.0000  8 Sn 3.32-3.37, 4 Sm 3.41
Sn: 0.0000 0.5000 0.3379  8 Sn 3.30-3.37, 2 Pu 3.30, 2 Sm 3.33
Sn: 0.5000 0.5000 0.1687  4 Sm 3.32, 8 Sn 3.37
Sn: 0.5000 0.5000 0.5000  8 Sn 3.30, 4 Pu 3.32

=====

[2]
SmPuSn6 | PBE | optimized geometry

For the density of states at the Fermi level, the calculation gives 10.925 states/eV/cell. The raw total energy comes out at -5.806 eV per atom.

a b c (Å): 4.7265 4.7265 9.3350
angles (deg): 90.00 90.00 90.00
With the nearest neighbours (Å) after each atom.
Space group P4/mmm (No. 123)
Inequivalent atoms, fractional coordinates:
Sm: 0.0000 0.0000 0.0000  12 Sn 3.34-3.35
Pu: 0.0000 0.0000 0.5000  12 Sn 3.29-3.34
Sn: 0.0000 0.5000 0.2544  8 Sn 3.29-3.35, 2 Pu 3.29, 2 Sm 3.35
Sn: 0.5000 0.5000 0.0000  4 Sm 3.34, 8 Sn 3.35
Sn: 0.5000 0.5000 0.5000  8 Sn 3.29, 4 Pu 3.34

=====

[3]
TbSmPuSn | PBE | optimized geometry

For the density of states at the Fermi level, the calculation gives 45.617 states/eV/cell. The raw total energy comes out at -7.042 eV per atom.

a b c (Å): 7.7041 7.7041 7.7041
angles (deg): 90.00 90.00 90.00
With the nearest neighbours (Å) after each atom.
Space group F-43m (No. 216)
Inequivalent atoms, fractional coordinates:
Tb: 0.0000 0.0000 0.0000  4 Pu 3.34, 4 Sm 3.34
Sm: 0.2500 0.2500 0.2500  4 Tb 3.34, 4 Sn 3.34
Pu: 0.2500 0.2500 0.7500  4 Tb 3.34, 4 Sn 3.34
Sn: 0.0000 0.0000 0.5000  4 Sm 3.34, 4 Pu 3.34

=====

[4]
SmPuTlSn | PBE | optimized geometry

For the density of states at the Fermi level, the calculation gives 45.521 states/eV/cell. The raw total energy comes out at -6.664 eV per atom.

a b c (Å): 7.6658 7.6658 7.6658
angles (deg): 90.00 90.00 90.00
With the nearest neighbours (Å) after each atom.
Space group F-43m (No. 216)
Inequivalent atoms, fractional coordinates:
Sm: 0.0000 0.0000 0.0000  4 Sn 3.32, 4 Tl 3.32
Pu: 0.0000 0.0000 0.5000  4 Tl 3.32, 4 Sn 3.32
Tl: 0.2500 0.2500 0.2500  4 Sm 3.32, 4 Pu 3.32
Sn: 0.2500 0.2500 0.7500  4 Pu 3.32, 4 Sm 3.32

=====

[5]
SmTmPuSn | PBE | optimized geometry

For the density of states at the Fermi level, the calculation gives 42.418 states/eV/cell. The raw total energy comes out at -7.017 eV per atom.

a b c (Å): 7.6646 7.6646 7.6646
angles (deg): 90.00 90.00 90.00
With the nearest neighbours (Å) after each atom.
Space group F-43m (No. 216)
Inequivalent atoms, fractional coordinates:
Sm: 0.0000 0.0000 0.0000  4 Sn 3.32, 4 Tm 3.32
Tm: 0.2500 0.2500 0.7500  4 Sm 3.32, 4 Pu 3.32
Pu: 0.0000 0.0000 0.5000  4 Tm 3.32, 4 Sn 3.32
Sn: 0.2500 0.2500 0.2500  4 Sm 3.32, 4 Pu 3.32

=====

[6]
SrSmPu | PBE | optimized geometry

For the density of states at the Fermi level, the calculation gives 20.280 states/eV/cell. The raw total energy comes out at -6.731 eV per atom.

a b c (Å): 6.1849 4.4346 15.0921
angles (deg): 90.00 99.79 90.00
With the nearest neighbours (Å) after each atom.
Space group C2/m (No. 12)
Inequivalent atoms, fractional coordinates:
Sr: 0.2036 0.0000 0.3834  6 Sr 3.81-4.12, 2 Sm 3.87
Sm: 0.1123 0.5000 0.1699  4 Pu 3.16-3.37
Pu: 0.1898 0.0000 0.0097  3 Pu 2.32-2.37